Entry from the Alexandria database: BC2 after structural relaxation (PBE).

Cell and atoms, written as POSCAR:
```
BC2
1.0
2.5047 0.0000 0.0000
-0.0980 2.9325 0.0000
-1.1007 -0.5254 2.8253
B C
1 2
direct
0.0000 0.0000 0.0000
0.1523 0.5279 0.2688
0.7482 0.7444 0.4636
```

Computed properties:
- E above lowest polymorph: 0.3443 eV per atom
- Raw total energy: -7.791 eV/atom
- V: 20.8 Å³ per cell
- M_tot: 0.00 μB/f.u.

Entry from the Alexandria database: CsNaS2 after structural relaxation (PBE).

Cell and atoms, written as POSCAR:
```
CsNaS2
1.0
5.1904 0.0000 0.0000
0.0000 5.1904 0.0000
0.0000 0.0000 18.4918
Cs Na S
4 4 8
direct
0.0000 0.0000 0.0000
0.0000 0.5000 0.2500
0.5000 0.0000 0.7500
0.5000 0.5000 0.5000
0.0000 0.0000 0.5000
0.0000 0.5000 0.7500
0.5000 0.0000 0.2500
0.5000 0.5000 0.0000
0.0474 0.2500 0.6250
0.2500 0.5474 0.8750
0.2500 0.9526 0.3750
0.4526 0.2500 0.1250
0.5474 0.7500 0.1250
0.7500 0.0474 0.3750
0.7500 0.4526 0.8750
0.9526 0.7500 0.6250
```

Computed properties:
- E above lowest polymorph: 0.0000 eV per atom
- Raw total energy: -3.295 eV/atom
- V: 498.2 Å³ per cell
- M_tot: 0.00 μB/f.u.

Entry from the Alexandria database: Na2Zn2O3 after structural relaxation (PBE).

Cell and atoms, written as POSCAR:
```
Na2Zn2O3
1.0
11.1101 0.0000 0.0000
0.0000 3.3193 0.0000
-2.4428 0.0000 5.1541
Na Zn O
4 4 6
direct
0.1066 0.0000 0.3435
0.3934 0.5000 0.6565
0.6066 0.5000 0.3435
0.8934 0.0000 0.6565
0.1677 0.5000 0.8042
0.3323 0.0000 0.1958
0.6677 0.0000 0.8042
0.8323 0.5000 0.1958
0.0000 0.5000 0.5000
0.2194 0.5000 0.1911
0.2806 0.0000 0.8089
0.5000 0.0000 0.5000
0.7194 0.0000 0.1911
0.7806 0.5000 0.8089
```

Computed properties:
- E above lowest polymorph: 0.0223 eV per atom
- Raw total energy: -4.251 eV/atom
- V: 190.1 Å³ per cell
- M_tot: 0.00 μB/f.u.

Entry from the Alexandria database: CeSmNi3 after structural relaxation (PBE).

Cell and atoms, written as POSCAR:
```
CeSmNi3
1.0
5.2900 0.0000 0.0000
0.0000 6.4405 0.0000
-1.1289 0.0000 5.3618
Ce Sm Ni
2 2 6
direct
0.0876 0.2500 0.3385
0.9124 0.7500 0.6615
0.3381 0.7500 0.2578
0.6619 0.2500 0.7422
0.2062 0.0599 0.8625
0.2062 0.4401 0.8625
0.4687 0.7500 0.7838
0.5313 0.2500 0.2162
0.7938 0.5599 0.1375
0.7938 0.9401 0.1375
```

Computed properties:
- Raw total energy: -5.899 eV/atom
- V: 182.7 Å³ per cell
- M_tot: 0.00 μB/f.u.

Entry from the Alexandria database: LiCeIrAu after structural relaxation (PBE).

Cell and atoms, written as POSCAR:
```
LiCeIrAu
1.0
6.7823 0.0000 0.0000
0.0000 6.7823 0.0000
0.0000 0.0000 6.7823
Li Ce Ir Au
4 4 4 4
direct
0.0000 0.0000 0.0000
0.0000 0.5000 0.5000
0.5000 0.0000 0.5000
0.5000 0.5000 0.0000
0.0000 0.0000 0.5000
0.0000 0.5000 0.0000
0.5000 0.0000 0.0000
0.5000 0.5000 0.5000
0.2500 0.2500 0.7500
0.2500 0.7500 0.2500
0.7500 0.2500 0.2500
0.7500 0.7500 0.7500
0.2500 0.2500 0.2500
0.2500 0.7500 0.7500
0.7500 0.2500 0.7500
0.7500 0.7500 0.2500
```

Computed properties:
- Raw total energy: -5.432 eV/atom
- V: 312.0 Å³ per cell
- M_tot: 0.34 μB/f.u.

Entry from the Alexandria database: NaGe2Se after structural relaxation (PBE).

Cell and atoms, written as POSCAR:
```
NaGe2Se
1.0
8.2839 0.0000 0.0000
0.0000 8.2839 0.0000
0.0000 0.0000 5.5655
Na Ge Se
4 8 4
direct
0.0000 0.0000 0.0000
0.0000 0.5000 0.2500
0.5000 0.0000 0.7500
0.5000 0.5000 0.5000
0.2050 0.2500 0.6250
0.2500 0.7050 0.8750
0.2500 0.7950 0.3750
0.2950 0.2500 0.1250
0.7050 0.7500 0.1250
0.7500 0.2050 0.3750
0.7500 0.2950 0.8750
0.7950 0.7500 0.6250
0.0000 0.0000 0.5000
0.0000 0.5000 0.7500
0.5000 0.0000 0.2500
0.5000 0.5000 0.0000
```

Computed properties:
- Raw total energy: -3.535 eV/atom
- V: 381.9 Å³ per cell
- M_tot: 0.00 μB/f.u.

Entry from the Alexandria database: CdI3 after structural relaxation (PBE).

Cell and atoms, written as POSCAR:
```
CdI3
1.0
8.1290 0.0000 0.0000
0.0000 8.1290 0.0000
0.0000 0.0000 8.1290
Cd I
4 12
direct
0.0000 0.0000 0.0000
0.0000 0.5000 0.5000
0.5000 0.0000 0.5000
0.5000 0.5000 0.0000
0.0000 0.0000 0.5000
0.0000 0.5000 0.0000
0.2500 0.2500 0.2500
0.2500 0.2500 0.7500
0.2500 0.7500 0.2500
0.2500 0.7500 0.7500
0.5000 0.0000 0.0000
0.5000 0.5000 0.5000
0.7500 0.2500 0.2500
0.7500 0.2500 0.7500
0.7500 0.7500 0.2500
0.7500 0.7500 0.7500
```

Computed properties:
- Raw total energy: -1.178 eV/atom
- V: 537.2 Å³ per cell
- M_tot: 0.92 μB/f.u.

Entry from the Alexandria database: Sm2Y7Th after structural relaxation (PBE).

Cell and atoms, written as POSCAR:
```
Sm2Y7Th
1.0
4.3520 -8.7375 0.0000
4.3520 8.7375 0.0000
0.0000 0.0000 5.1695
Sm Y Th
2 7 1
direct
0.2008 0.7992 0.0000
0.7992 0.2008 0.0000
0.0000 0.0000 0.0000
0.2141 0.4269 0.0000
0.3035 0.6965 0.5000
0.4269 0.2141 0.0000
0.5731 0.7859 0.0000
0.6965 0.3035 0.5000
0.7859 0.5731 0.0000
0.5000 0.5000 0.5000
```

Computed properties:
- E above lowest polymorph: 0.2772 eV per atom
- Raw total energy: -5.491 eV/atom
- V: 393.1 Å³ per cell
- M_tot: 0.00 μB/f.u.

Entry from the Alexandria database: Co3AsPd after structural relaxation (PBE).

Cell and atoms, written as POSCAR:
```
Co3AsPd
1.0
4.5497 0.0000 0.0000
0.0000 4.5497 0.0000
0.0000 0.0000 4.5497
Co As Pd
3 1 1
direct
0.0000 0.0000 0.5000
0.0000 0.5000 0.0000
0.5000 0.0000 0.0000
0.5000 0.5000 0.5000
0.0000 0.0000 0.0000
```

Computed properties:
- E above lowest polymorph: 0.6642 eV per atom
- Raw total energy: -4.870 eV/atom
- V: 94.2 Å³ per cell
- M_tot: 6.60 μB/f.u.

Entry from the Alexandria database: LaYBe2 after structural relaxation (PBE).

Cell and atoms, written as POSCAR:
```
LaYBe2
1.0
3.4172 0.0000 0.0000
0.0000 4.4245 0.0000
0.0000 0.0000 6.0629
La Y Be
1 1 2
direct
0.0000 0.0000 0.0000
0.5000 0.5000 0.3850
0.0000 0.0000 0.5247
0.5000 0.5000 0.8355
```

Computed properties:
- E above lowest polymorph: 0.3901 eV per atom
- Raw total energy: -4.224 eV/atom
- V: 91.7 Å³ per cell
- M_tot: 0.00 μB/f.u.

Entry from the Alexandria database: NiAg2Rh after structural relaxation (PBE).

Cell and atoms, written as POSCAR:
```
NiAg2Rh
1.0
2.7860 0.0000 0.0000
-1.3930 2.4128 0.0000
0.0000 0.0000 27.4703
Ni Ag Rh
3 6 3
direct
0.0000 0.0000 0.0000
0.3333 0.6667 0.6667
0.6667 0.3333 0.3333
0.0000 0.0000 0.5066
0.0000 0.0000 0.7478
0.3333 0.6667 0.1733
0.3333 0.6667 0.4144
0.6667 0.3333 0.0811
0.6667 0.3333 0.8400
0.0000 0.0000 0.2612
0.3333 0.6667 0.9279
0.6667 0.3333 0.5945
```

Computed properties:
- E above lowest polymorph: 0.0356 eV per atom
- Raw total energy: -4.524 eV/atom
- V: 184.7 Å³ per cell
- M_tot: 1.50 μB/f.u.

Entry from the Alexandria database: K3CdBr5 after structural relaxation (PBE).

Cell and atoms, written as POSCAR:
```
K3CdBr5
1.0
-4.4869 4.4869 8.0018
4.4869 -4.4869 8.0018
4.4869 4.4869 -8.0018
K Cd Br
6 2 10
direct
0.1598 0.6598 0.8195
0.2500 0.2500 0.0000
0.3402 0.1598 0.5000
0.6598 0.8402 0.5000
0.7500 0.7500 0.0000
0.8402 0.3402 0.1805
0.2500 0.7500 0.5000
0.7500 0.2500 0.5000
0.0000 0.0000 0.0000
0.0128 0.1959 0.5000
0.1959 0.6959 0.1831
0.3041 0.4872 0.5000
0.4872 0.9872 0.1831
0.5000 0.5000 0.0000
0.5128 0.0128 0.8169
0.6959 0.5128 0.5000
0.8041 0.3041 0.8169
0.9872 0.8041 0.5000
```

Computed properties:
- Raw total energy: -2.818 eV/atom
- V: 644.4 Å³ per cell
- M_tot: 0.14 μB/f.u.

Entry from the Alexandria database: Cs2In2As2O after structural relaxation (PBE).

Cell and atoms, written as POSCAR:
```
Cs2In2As2O
1.0
13.3632 0.0000 0.0000
0.0000 4.4057 0.0000
-4.4305 0.0000 7.4477
Cs In As O
4 4 4 2
direct
0.0574 0.0000 0.3157
0.4426 0.5000 0.6843
0.5574 0.5000 0.3157
0.9426 0.0000 0.6843
0.1752 0.5000 0.0608
0.3249 0.0000 0.9392
0.6752 0.0000 0.0608
0.8248 0.5000 0.9392
0.1982 0.5000 0.7599
0.3018 0.0000 0.2401
0.6982 0.0000 0.7599
0.8018 0.5000 0.2401
0.0000 0.5000 0.0000
0.5000 0.0000 0.0000
```

Computed properties:
- Raw total energy: -3.815 eV/atom
- V: 438.5 Å³ per cell
- M_tot: 0.00 μB/f.u.

Entry from the Alexandria database: Pu8PdRu5 after structural relaxation (PBE).

Cell and atoms, written as POSCAR:
```
Pu8PdRu5
1.0
-4.2489 4.2489 4.1449
4.2489 -4.2489 4.1449
4.2489 4.2489 -4.1449
Pu Pd Ru
8 1 5
direct
0.0237 0.1307 0.7668
0.2484 0.4880 0.6090
0.3606 0.7516 0.2396
0.3639 0.2568 0.2332
0.5120 0.1210 0.7604
0.7432 0.9763 0.1071
0.8693 0.6361 0.8929
0.8790 0.6394 0.3910
0.7500 0.2500 0.5000
0.1513 0.0224 0.3916
0.2403 0.8487 0.8712
0.5000 0.5000 0.0000
0.6309 0.7597 0.6084
0.9776 0.3691 0.1288
```

Computed properties:
- Raw total energy: -11.999 eV/atom
- V: 299.3 Å³ per cell
- M_tot: 39.04 μB/f.u.

Entry from the Alexandria database: Tb8Y4Zr after structural relaxation (PBE).

Cell and atoms, written as POSCAR:
```
Tb8Y4Zr
1.0
5.4556 3.1498 4.4254
-5.4556 3.1498 4.4254
0.0000 -6.2995 4.4254
Tb Y Zr
8 4 1
direct
0.2454 0.2454 0.2454
0.2450 0.2450 0.7527
0.2450 0.7527 0.2450
0.2473 0.7550 0.7550
0.7527 0.2450 0.2450
0.7550 0.2473 0.7550
0.7550 0.7550 0.2473
0.7546 0.7546 0.7546
0.0000 0.0000 0.0000
0.0000 0.5000 0.5000
0.5000 0.0000 0.5000
0.5000 0.5000 0.0000
0.5000 0.5000 0.5000
```

Computed properties:
- Raw total energy: -4.947 eV/atom
- V: 456.3 Å³ per cell
- M_tot: 0.01 μB/f.u.

Entry from the Alexandria database: Cd2CoRh after structural relaxation (PBE).

Cell and atoms, written as POSCAR:
```
Cd2CoRh
1.0
4.0382 0.0000 0.0000
0.0000 4.0382 0.0000
0.0000 0.0000 7.9938
Cd Co Rh
4 2 2
direct
0.0000 0.0000 0.0000
0.0000 0.5000 0.2500
0.5000 0.0000 0.7500
0.5000 0.5000 0.5000
0.0000 0.5000 0.7500
0.5000 0.0000 0.2500
0.0000 0.0000 0.5000
0.5000 0.5000 0.0000
```

Computed properties:
- Raw total energy: -3.893 eV/atom
- V: 130.4 Å³ per cell
- M_tot: 2.01 μB/f.u.

Entry from the Alexandria database: CaReAs2 after structural relaxation (PBE).

Cell and atoms, written as POSCAR:
```
CaReAs2
1.0
3.2358 0.0000 0.0000
-1.6179 2.8023 0.0000
0.0000 0.0000 26.4928
Ca Re As
3 3 6
direct
0.0000 0.0000 0.0000
0.3333 0.6667 0.6667
0.6667 0.3333 0.3333
0.0000 0.0000 0.2411
0.3333 0.6667 0.9078
0.6667 0.3333 0.5745
0.0000 0.0000 0.5127
0.0000 0.0000 0.7579
0.3333 0.6667 0.1794
0.3333 0.6667 0.4246
0.6667 0.3333 0.0913
0.6667 0.3333 0.8461
```

Computed properties:
- E above lowest polymorph: 0.5710 eV per atom
- Raw total energy: -5.659 eV/atom
- V: 240.2 Å³ per cell
- M_tot: 0.00 μB/f.u.

Entry from the Alexandria database: DyMn2Al10 after structural relaxation (PBE).

Cell and atoms, written as POSCAR:
```
DyMn2Al10
1.0
4.4922 -5.1074 0.0000
4.4922 5.1074 0.0000
0.0000 0.0000 9.0417
Dy Mn Al
2 4 20
direct
0.1270 0.8730 0.7500
0.8730 0.1270 0.2500
0.0000 0.5000 0.0000
0.0000 0.5000 0.5000
0.5000 0.0000 0.0000
0.5000 0.0000 0.5000
0.1339 0.4123 0.7500
0.1552 0.8448 0.0963
0.1552 0.8448 0.4037
0.2168 0.4760 0.2500
0.2289 0.2289 0.0000
0.2289 0.2289 0.5000
0.3737 0.6263 0.5434
0.3737 0.6263 0.9566
0.4123 0.1339 0.2500
0.4760 0.2168 0.7500
0.5240 0.7832 0.2500
0.5877 0.8661 0.7500
0.6263 0.3737 0.0434
0.6263 0.3737 0.4566
0.7711 0.7711 0.0000
0.7711 0.7711 0.5000
0.7832 0.5240 0.7500
0.8448 0.1552 0.5963
0.8448 0.1552 0.9037
0.8661 0.5877 0.2500
```

Computed properties:
- Raw total energy: -4.945 eV/atom
- V: 414.9 Å³ per cell
- M_tot: 1.81 μB/f.u.

Entry from the Alexandria database: CaIn2Re after structural relaxation (PBE).

Cell and atoms, written as POSCAR:
```
CaIn2Re
1.0
4.4912 0.0000 0.0000
0.0000 4.5018 0.0000
0.0000 0.0000 8.2333
Ca In Re
2 4 2
direct
0.0000 0.0000 0.0000
0.5000 0.5000 0.5000
0.0000 0.5000 0.2498
0.0000 0.5000 0.7502
0.5000 0.0000 0.2502
0.5000 0.0000 0.7498
0.0000 0.0000 0.5000
0.5000 0.5000 0.0000
```

Computed properties:
- E above lowest polymorph: 0.0463 eV per atom
- Raw total energy: -4.688 eV/atom
- V: 166.5 Å³ per cell
- M_tot: 0.42 μB/f.u.

Entry from the Alexandria database: TbNd12Ho7 after structural relaxation (PBE).

Cell and atoms, written as POSCAR:
```
TbNd12Ho7
1.0
9.8278 5.6741 2.0764
-9.8278 5.6741 2.0764
0.0000 -11.3482 2.0764
Tb Nd Ho
1 12 7
direct
0.0000 0.0000 0.0000
0.0630 0.4158 0.4168
0.0873 0.4992 0.9121
0.0879 0.9127 0.5008
0.4158 0.4168 0.0630
0.4168 0.0630 0.4158
0.4992 0.9121 0.0873
0.5008 0.0879 0.9127
0.5832 0.9370 0.5842
0.5842 0.5832 0.9370
0.9121 0.0873 0.4992
0.9127 0.5008 0.0879
0.9370 0.5842 0.5832
0.1247 0.3697 0.1258
0.1258 0.1247 0.3697
0.3697 0.1258 0.1247
0.5000 0.5000 0.5000
0.6303 0.8742 0.8753
0.8742 0.8753 0.6303
0.8753 0.6303 0.8742
```

Computed properties:
- E above lowest polymorph: 0.0135 eV per atom
- Raw total energy: -4.458 eV/atom
- V: 694.7 Å³ per cell
- M_tot: 0.00 μB/f.u.

Entry from the Alexandria database: PrNd2Co3 after structural relaxation (PBE).

Cell and atoms, written as POSCAR:
```
PrNd2Co3
1.0
7.0918 -4.0942 0.0000
7.0918 4.0942 0.0000
0.0000 0.0000 4.6177
Pr Nd Co
2 4 6
direct
0.1676 0.8324 0.7500
0.8324 0.1676 0.2500
0.1666 0.4991 0.2500
0.4991 0.1666 0.7500
0.5009 0.8334 0.2500
0.8334 0.5009 0.7500
0.1675 0.1675 0.0000
0.1675 0.1675 0.5000
0.5000 0.5000 0.0000
0.5000 0.5000 0.5000
0.8325 0.8325 0.0000
0.8325 0.8325 0.5000
```

Computed properties:
- Raw total energy: -5.992 eV/atom
- V: 268.2 Å³ per cell
- M_tot: 1.70 μB/f.u.

Entry from the Alexandria database: AgRh2 after structural relaxation (PBE).

Cell and atoms, written as POSCAR:
```
AgRh2
1.0
2.7866 0.0000 0.0000
0.0000 3.8486 0.0000
0.0000 0.0000 8.6469
Ag Rh
2 4
direct
0.0000 0.0000 0.0000
0.5000 0.5000 0.5000
0.0000 0.0000 0.3214
0.0000 0.0000 0.6786
0.5000 0.5000 0.1786
0.5000 0.5000 0.8214
```

Computed properties:
- E above lowest polymorph: 0.1098 eV per atom
- Raw total energy: -5.582 eV/atom
- V: 92.7 Å³ per cell
- M_tot: 0.92 μB/f.u.

Entry from the Alexandria database: Be2HgO2 after structural relaxation (PBE).

Cell and atoms, written as POSCAR:
```
Be2HgO2
1.0
6.9185 0.0000 0.0000
0.0000 6.9185 0.0000
0.0000 0.0000 2.5330
Be Hg O
4 2 4
direct
0.0914 0.4086 0.0000
0.4086 0.9086 0.0000
0.5914 0.0914 0.0000
0.9086 0.5914 0.0000
0.0000 0.0000 0.0000
0.5000 0.5000 0.0000
0.1103 0.6103 0.5000
0.3897 0.1103 0.5000
0.6103 0.8897 0.5000
0.8897 0.3897 0.5000
```

Computed properties:
- E above lowest polymorph: 1.2535 eV per atom
- Raw total energy: -3.992 eV/atom
- V: 121.2 Å³ per cell
- M_tot: 0.00 μB/f.u.

Entry from the Alexandria database: Mn2TcSb after structural relaxation (PBE).

Cell and atoms, written as POSCAR:
```
Mn2TcSb
1.0
2.9728 0.0000 0.0000
-1.4864 2.5745 0.0000
0.0000 0.0000 25.2281
Mn Tc Sb
6 3 3
direct
0.0000 0.0000 0.0000
0.0000 0.0000 0.2542
0.3333 0.6667 0.6667
0.3333 0.6667 0.9209
0.6667 0.3333 0.3333
0.6667 0.3333 0.5875
0.0000 0.0000 0.5150
0.3333 0.6667 0.1817
0.6667 0.3333 0.8483
0.0000 0.0000 0.7571
0.3333 0.6667 0.4237
0.6667 0.3333 0.0904
```

Computed properties:
- Raw total energy: -7.721 eV/atom
- V: 193.1 Å³ per cell
- M_tot: 4.99 μB/f.u.